Cr2FeCu: optimized geometry, GGA-PBE.

The structure in extended XYZ format:
```
4
Lattice="-0.2824 -3.8811 -2.5822 3.6739 -1.0084 -2.7011 -1.2190 0.8448 4.4284" Properties=species:S:1:pos:R:3 pbc="T T T"
Cr 0.0331 -0.0477 -0.0515
Cr 1.6627 -2.3971 -2.5902
Fe 2.0754 -1.3042 -0.4572
Cu 0.0972 -2.7405 -0.3977
```

Summary:
* mass density: 8.0 g cm⁻³
* D(E_F): 4.6 states/eV per cell
* calculated formation energy: 264 meV per atom
* ΔE to the lowest computed polymorph: 127 meV/atom



Ce3Si: optimized geometry, GGA-PBE.

The structure in extended XYZ format:
```
8
Lattice="-2.2437 5.0979 -1.3831 -4.5299 -3.3079 1.2137 0.3126 1.7429 5.9171" Properties=species:S:1:pos:R:3 pbc="T T T"
Ce -2.7893 -1.3042 2.7404
Ce -1.3376 4.2203 3.0656
Ce -3.9884 1.0539 -0.0997
Ce -1.7041 2.5758 0.3459
Ce -0.4452 1.0304 2.9435
Ce -2.4228 0.3403 5.4602
Si -0.0803 0.0212 -0.0020
Si -3.3108 1.7877 2.8718
```

Summary:
* mass density: 7.6 g cm⁻³
* D(E_F): 21.7 states/eV per cell
* uncorrected formation energy: -23.6 kJ/mol of atoms
* ΔE to the lowest computed polymorph: 102 meV/atom



TbDyMgCr: optimized geometry, GGA-PBE.

The structure in extended XYZ format:
```
4
Lattice="5.1996 0.0000 0.0000 2.5998 4.5030 0.0000 2.5998 1.5010 4.2455" Properties=species:S:1:pos:R:3 pbc="T T T"
Tb 2.5998 1.5010 1.0614
Dy 7.7994 4.5030 3.1841
Mg 0.0000 0.0000 0.0000
Cr 5.1996 3.0020 2.1227
```

Summary:
* mass density: 6.6 g cm⁻³
* D(E_F): 2.2 states/eV per cell
* calculated formation energy: 139 meV per atom